# 1
Here is a relaxed structure of Ti2Cu2Ge from the Alexandria database. Energies are from PBE.

abc: 6.275 6.275 3.783
angles: 90.00 90.00 90.00
Fractional positions:
Ti 0.166 0.334 0.000
Ti 0.334 0.834 0.000
Ti 0.666 0.166 0.000
Ti 0.834 0.666 0.000
Cu 0.133 0.633 0.500
Cu 0.367 0.133 0.500
Cu 0.633 0.867 0.500
Cu 0.867 0.367 0.500
Ge 0.000 0.000 0.500
Ge 0.500 0.500 0.500

Results
The offset from the most stable computed form comes out at 0.00 eV/f.u. The value obtained for the calculated volume is 149.0 Å³ per cell. The value obtained for the formation energy is -0.182 eV/atom. The space-group type is P4/mbm, No. 127.

=====

# 2
Here is a relaxed structure of Li2TaCo from the Alexandria database. Energies are from PBE.

abc: 2.699 2.699 28.702
angles: 90.00 90.00 120.00
Fractional positions:
Li 0.000 0.000 0.242
Li 0.000 0.000 0.758
Li 0.333 0.667 0.425
Li 0.333 0.667 0.909
Li 0.667 0.333 0.091
Li 0.667 0.333 0.575
Ta 0.000 0.000 0.000
Ta 0.333 0.667 0.667
Ta 0.667 0.333 0.333
Co 0.000 0.000 0.500
Co 0.333 0.667 0.167
Co 0.667 0.333 0.833

Results
The offset from the most stable computed form comes out at 0.74 eV/f.u. The value obtained for the calculated volume is 181.1 Å³ per cell. The value obtained for the formation energy is 0.351 eV/atom. The space-group type is R-3m, No. 166.